Record 1
Crystalline PrSm2TmSe6 at its relaxed geometry, computed with PBE-GGA.

extended XYZ file:
```
10
Lattice="3.679 2.124 6.556 -3.679 2.124 6.556 0.000 -4.249 6.556" Properties=species:S:1:pos:R:3 pbc="T T T"
Pr 0.000 0.000 0.000
Sm 0.000 0.000 5.804
Sm 0.000 0.000 15.722
Tm 0.000 0.000 9.722
Se -2.168 -0.042 7.842
Se -1.409 -2.040 11.089
Se 1.121 -1.856 7.842
Se -1.062 2.240 11.089
Se 1.047 1.899 7.842
Se 2.471 -0.200 11.089
```

Results
energy relative to the elements, uncorrected	-1835.3	meV per atom
total magnetization	0.000	μB per cell

Record 2
Crystalline SrNiAs2 at its relaxed geometry, computed with PBE-GGA.

extended XYZ file:
```
4
Lattice="-2.076 2.302 4.880 2.076 -2.302 4.880 2.076 2.302 -4.880" Properties=species:S:1:pos:R:3 pbc="T T T"
Sr 0.000 0.000 0.000
Ni 0.000 2.302 2.279
As 2.076 0.000 2.581
As 0.000 0.000 6.229
```

Results
total magnetization	0.000	μB per cell
energy of formation	-346	meV per atom

Record 3
Crystalline Nb6IrRu12 at its relaxed geometry, computed with PBE-GGA.

extended XYZ file:
```
19
Lattice="5.755 3.323 2.660 -5.755 3.323 2.660 0.000 -6.646 2.660" Properties=species:S:1:pos:R:3 pbc="T T T"
Nb -1.309 -1.451 2.037
Nb -0.602 1.859 2.037
Nb 1.911 -0.408 2.037
Nb -1.911 0.408 5.944
Nb 0.602 -1.859 5.944
Nb 1.309 1.451 5.944
Ir 0.000 0.000 3.990
Ru -0.567 -4.189 2.114
Ru -3.345 2.585 2.114
Ru -2.695 0.408 3.416
Ru -3.911 -1.604 5.867
Ru -1.701 -2.130 4.564
Ru 0.994 -2.538 3.416
Ru -0.994 2.538 4.564
Ru 1.701 2.130 3.416
Ru 3.911 1.604 2.114
Ru 2.695 -0.408 4.564
Ru 3.345 -2.585 5.867
Ru 0.567 4.189 5.867
```

Results
total magnetization	0.000	μB per cell
energy of formation	21	meV per atom